DFT (meta-GGA SCAN) results for LaNdN2 at its PBEsol-relaxed geometry.

```
4
Lattice="1.829 1.056 5.989 -1.829 1.056 5.989 0.000 -2.112 5.989" Properties=species:S:1:pos:R:3 pbc="T T T"
La 0.000 0.000 0.000
Nd 0.000 0.000 8.983
N 0.000 0.000 4.465
N 0.000 0.000 13.502
```

Summary:
Total magnetization in μB per formula unit: 0.00
E in eV/atom: -27.926
Formation energy without anion corrections in eV/atom: -1.608